[1]
TmThSc2As4 | PBE | relaxed

abc: 6.9486 4.0463 6.9862
angles: 90.00 109.59 90.00
Fractional coordinates of all 8 atoms:
Tm: 0.0000 0.0000 0.0000
Th: 0.0000 0.5000 0.5000
Sc: 0.5000 0.0000 0.5000
Sc: 0.5000 0.5000 0.0000
As: 0.2649 0.5000 0.2495
As: 0.2701 0.0000 0.7627
As: 0.7299 0.0000 0.2373
As: 0.7351 0.5000 0.7505

DFT formation energy, eV per formula unit: -11.3
V, A^3/atom: 23.1
Symmetry: P2/m (10)
DOS(E_F), states/eV per cell: 1.62



[2]
Ce3Y2ErN6 | PBE | relaxed

abc: 6.0865 6.0865 6.0935
angles: 99.59 99.59 120.00
Fractional coordinates of all 12 atoms:
Ce: 0.0000 0.0000 0.0000
Ce: 0.3334 0.6666 0.0000
Ce: 0.6666 0.3334 0.0000
Y: 0.1667 0.8333 0.5000
Y: 0.8333 0.1667 0.5000
Er: 0.5000 0.5000 0.5000
N: 0.0873 0.4175 0.2526
N: 0.2524 0.2524 0.7478
N: 0.4175 0.0873 0.2526
N: 0.5825 0.9127 0.7474
N: 0.7476 0.7476 0.2522
N: 0.9127 0.5825 0.7474

V, A^3/atom: 15.4
Formation energy (no corrections), eV per atom: -1.60
Symmetry: C2/m (12)
DOS(E_F), states/eV per cell: 7.15



[3]
SrRu2Cl | PBE | relaxed

abc: 4.9352 4.9352 15.6934
angles: 90.00 90.00 90.00
Fractional coordinates of all 16 atoms:
Sr: 0.0000 0.2500 0.3750
Sr: 0.0000 0.7500 0.6250
Sr: 0.5000 0.2500 0.1250
Sr: 0.5000 0.7500 0.8750
Ru: 0.0000 0.0000 0.0000
Ru: 0.0000 0.5000 0.0000
Ru: 0.2500 0.2500 0.7500
Ru: 0.2500 0.7500 0.2500
Ru: 0.5000 0.0000 0.5000
Ru: 0.5000 0.5000 0.5000
Ru: 0.7500 0.2500 0.7500
Ru: 0.7500 0.7500 0.2500
Cl: 0.0000 0.2500 0.8750
Cl: 0.0000 0.7500 0.1250
Cl: 0.5000 0.2500 0.6250
Cl: 0.5000 0.7500 0.3750

V, A^3/atom: 23.9
Formation energy (no corrections), eV per atom: 0.34
Symmetry: I4_1/amd (141)
DOS(E_F), states/eV per cell: 15.26
ΔE to the lowest computed polymorph, eV per atom: 0.452



[4]
Rb3HF5 | PBE | relaxed

abc: 7.7921 7.7921 7.7921
angles: 122.58 122.58 85.59
Fractional coordinates of all 18 atoms:
Rb: 0.1780 0.6780 0.8559
Rb: 0.2500 0.2500 0.0000
Rb: 0.3220 0.1780 0.5000
Rb: 0.6780 0.8220 0.5000
Rb: 0.7500 0.7500 0.0000
Rb: 0.8220 0.3220 0.1441
H: 0.2500 0.7500 0.5000
H: 0.7500 0.2500 0.5000
F: 0.0000 0.0000 0.0000
F: 0.0548 0.7751 0.5000
F: 0.2249 0.7249 0.2798
F: 0.2751 0.5548 0.5000
F: 0.4452 0.9452 0.7202
F: 0.5000 0.5000 0.0000
F: 0.5548 0.0548 0.2798
F: 0.7249 0.4452 0.5000
F: 0.7751 0.2751 0.7202
F: 0.9452 0.2249 0.5000

V, A^3/atom: 17.8
Symmetry: I4/mcm (140)
DOS(E_F), states/eV per cell: 17.62
Calculated total energy, eV/atom: -3.745